No. 1
# PrZrHgPb | the Alexandria database | PBE | relaxed
data_PrZrHgPb
_chemical_formula_sum 'Pr4 Zr4 Hg4 Pb4'
_symmetry_space_group_name_H-M 'F -4 3 m'
_symmetry_Int_Tables_number 216
_symmetry_space_group_name_Hall 'F -4 2 3'
_cell_length_a 7.493
_cell_length_b 7.493
_cell_length_c 7.493
_cell_angle_alpha 90.00
_cell_angle_beta 90.00
_cell_angle_gamma 90.00
loop_
_atom_site_label
_atom_site_type_symbol
_atom_site_fract_x
_atom_site_fract_y
_atom_site_fract_z
_atom_site_occupancy
Pr1 Pr 0.000 0.000 0.000 1
Zr1 Zr 0.000 0.000 0.500 1
Hg1 Hg 0.250 0.250 0.750 1
Pb1 Pb 0.250 0.250 0.250 1
# total magnetization = 2.46 μB/cell
# calculated total energy = -4.546 eV/atom



No. 2
# HgPt2Pb2 | the Alexandria database | PBE | relaxed
data_HgPt2Pb2
_chemical_formula_sum 'Hg2 Pt4 Pb4'
_symmetry_space_group_name_H-M 'P 4/m b m'
_symmetry_Int_Tables_number 127
_symmetry_space_group_name_Hall '-P 4 2ab'
_cell_length_a 8.378
_cell_length_b 8.378
_cell_length_c 3.304
_cell_angle_alpha 90.00
_cell_angle_beta 90.00
_cell_angle_gamma 90.00
loop_
_atom_site_label
_atom_site_type_symbol
_atom_site_fract_x
_atom_site_fract_y
_atom_site_fract_z
_atom_site_occupancy
Hg1 Hg 0.000 0.000 0.000 1
Pt1 Pt 0.123 0.377 0.500 1
Pb1 Pb 0.166 0.666 0.000 1
# total magnetization = 0.00 μB/cell
# offset from the most stable computed form = 171 meV per atom



No. 3
# HgPt2Pb | the Alexandria database | PBE | relaxed
data_HgPt2Pb
_chemical_formula_sum 'Hg4 Pt8 Pb4'
_symmetry_space_group_name_H-M 'I -4 2 d'
_symmetry_Int_Tables_number 122
_symmetry_space_group_name_Hall 'I -4 2bw'
_cell_length_a 7.597
_cell_length_b 7.597
_cell_length_c 5.851
_cell_angle_alpha 90.00
_cell_angle_beta 90.00
_cell_angle_gamma 90.00
loop_
_atom_site_label
_atom_site_type_symbol
_atom_site_fract_x
_atom_site_fract_y
_atom_site_fract_z
_atom_site_occupancy
Hg1 Hg 0.000 0.000 0.000 1
Pt1 Pt 0.250 0.250 0.125 1
Pb1 Pb 0.000 0.000 0.500 1
# total magnetization = 0.00 μB/cell
# calculated total energy = -3.872 eV/atom



No. 4
# HgPt2Pb | the Alexandria database | PBE | relaxed
data_HgPt2Pb
_chemical_formula_sum 'Hg3 Pt6 Pb3'
_symmetry_space_group_name_H-M 'R -3 m'
_symmetry_Int_Tables_number 166
_symmetry_space_group_name_Hall '-R 3 2"'
_cell_length_a 3.7318
_cell_length_b 3.7318
_cell_length_c 21.3395
_cell_angle_alpha 90.00
_cell_angle_beta 90.00
_cell_angle_gamma 120.00
loop_
_atom_site_label
_atom_site_type_symbol
_atom_site_fract_x
_atom_site_fract_y
_atom_site_fract_z
_atom_site_occupancy
Hg1 Hg 0.0000 0.0000 0.0000 1
Pt1 Pt 0.0000 0.0000 0.2503 1
Pb1 Pb 0.0000 0.0000 0.5000 1
# total magnetization = 0.00 μB/cell
# calculated total energy = -3.932 eV/atom